Record 1
# TiV4Ga (GGA-PBE, relaxed)
# * theoretical density: 6.10 Mg/m³
# * uncorrected energy: -7.87 eV/atom
# * Fermi-level density of states: 5.7 states/eV/f.u.
# * magnetic moment: 0.00 μB per formula unit
# * energy above the lowest structure with this stoichiometry: 128 meV/atom
# * E_form: 0.0329 eV per atom
data_TiV4Ga
_symmetry_space_group_name_H-M 'F -4 3 m'
_symmetry_Int_Tables_number 216
_symmetry_space_group_name_Hall 'F -4 2 3'
_cell_length_a 7.0467
_cell_length_b 7.0467
_cell_length_c 7.0467
_cell_angle_alpha 90.00
_cell_angle_beta 90.00
_cell_angle_gamma 90.00
loop_
_atom_site_label
_atom_site_fract_x
_atom_site_fract_y
_atom_site_fract_z
Ti1 0.0000 0.0000 0.0000
V1 0.1274 0.1274 0.3726
Ga1 0.2500 0.2500 0.7500

=====

Record 2
# Ti2VGa6 (GGA-PBE, relaxed)
# * theoretical density: 6.30 Mg/m³
# * uncorrected energy: -4.96 eV/atom
# * Fermi-level density of states: 4.8 states/eV/f.u.
# * magnetic moment: 0.00 μB per formula unit
# * E_form: -0.1728 eV per atom
data_Ti2VGa6
_symmetry_space_group_name_H-M 'C 1 2/m 1'
_symmetry_Int_Tables_number 12
_symmetry_space_group_name_Hall '-C 2y'
_cell_length_a 10.4081
_cell_length_b 5.2438
_cell_length_c 5.5358
_cell_angle_alpha 90.00
_cell_angle_beta 99.86
_cell_angle_gamma 90.00
loop_
_atom_site_label
_atom_site_fract_x
_atom_site_fract_y
_atom_site_fract_z
Ti1 0.1281 0.0000 0.3592
V1 0.0000 0.5000 0.5000
Ga1 0.1165 0.2396 0.8455
Ga2 0.1722 0.5000 0.2529

=====

Record 3
# Ti5VGa6 (GGA-PBE, relaxed)
# * theoretical density: 6.05 Mg/m³
# * uncorrected energy: -5.80 eV/atom
# * Fermi-level density of states: 9.1 states/eV/f.u.
# * magnetic moment: 0.00 μB per formula unit
# * energy above the lowest structure with this stoichiometry: 187 meV/atom
# * E_form: -0.2368 eV per atom
data_Ti5VGa6
_symmetry_space_group_name_H-M 'C 1 2/m 1'
_symmetry_Int_Tables_number 12
_symmetry_space_group_name_Hall '-C 2y'
_cell_length_a 8.9851
_cell_length_b 8.4757
_cell_length_c 5.1609
_cell_angle_alpha 90.00
_cell_angle_beta 98.22
_cell_angle_gamma 90.00
loop_
_atom_site_label
_atom_site_fract_x
_atom_site_fract_y
_atom_site_fract_z
Ti1 0.0000 0.0000 0.0000
Ti2 0.0000 0.1734 0.5000
Ti3 0.0000 0.3359 0.0000
V1 0.0000 0.5000 0.5000
Ga1 0.2483 0.3370 0.7496
Ga2 0.2489 0.5000 0.2632

=====

uncorrected energy of number 2 (Ti2VGa6)?
-4.96 eV/atom

=====

Repeat the first record exactly.
# TiV4Ga (GGA-PBE, relaxed)
# * theoretical density: 6.10 Mg/m³
# * uncorrected energy: -7.87 eV/atom
# * Fermi-level density of states: 5.7 states/eV/f.u.
# * magnetic moment: 0.00 μB per formula unit
# * energy above the lowest structure with this stoichiometry: 128 meV/atom
# * E_form: 0.0329 eV per atom
data_TiV4Ga
_symmetry_space_group_name_H-M 'F -4 3 m'
_symmetry_Int_Tables_number 216
_symmetry_space_group_name_Hall 'F -4 2 3'
_cell_length_a 7.0467
_cell_length_b 7.0467
_cell_length_c 7.0467
_cell_angle_alpha 90.00
_cell_angle_beta 90.00
_cell_angle_gamma 90.00
loop_
_atom_site_label
_atom_site_fract_x
_atom_site_fract_y
_atom_site_fract_z
Ti1 0.0000 0.0000 0.0000
V1 0.1274 0.1274 0.3726
Ga1 0.2500 0.2500 0.7500

=====

Which formula does entry 2 have?
Ti2VGa6